Density functional theory data (PBE-GGA) for crystalline Na2PaGeS6 at its relaxed geometry.

Formation energy without anion corrections: -793.8 meV per atom
N(E_F): 8.33 states/eV per cell
E: -4.945 eV per atom

a = 6.993 Å, b = 6.993 Å, c = 6.993 Å
α = 58.59°, β = 58.59°, γ = 58.59°
Element x y z (fractional)
Na: 0.000 0.000 0.000
Na: 0.500 0.500 0.500
Pa: 0.777 0.777 0.777
Ge: 0.276 0.276 0.276
S: 0.043 0.600 0.434
S: 0.121 0.521 0.954
S: 0.434 0.043 0.600
S: 0.521 0.954 0.121
S: 0.600 0.434 0.043
S: 0.954 0.121 0.521

Density functional theory data (PBE-GGA) for crystalline SrIn3 at its relaxed geometry.

Energy of formation: -0.3209 eV per atom
N(E_F): 4.34 states/eV per cell
E: -2.795 eV per atom

a = 6.588 Å, b = 6.588 Å, c = 7.743 Å
α = 90.00°, β = 90.00°, γ = 134.95°
Element x y z (fractional)
Sr: 0.087 0.913 0.750
Sr: 0.913 0.087 0.250
In: 0.201 0.799 0.250
In: 0.378 0.622 0.548
In: 0.378 0.622 0.952
In: 0.622 0.378 0.048
In: 0.622 0.378 0.452
In: 0.799 0.201 0.750

Density functional theory data (PBE-GGA) for crystalline La6Pm2Pr3 at its relaxed geometry.

Energy of formation: 0.4048 eV per atom
N(E_F): 13.70 states/eV per cell
E: -4.450 eV per atom
Relative energy among the computed polymorphs: 390 meV/atom

a = 12.364 Å, b = 12.364 Å, c = 12.364 Å
α = 151.81°, β = 151.81°, γ = 40.29°
Element x y z (fractional)
La: 0.110 0.610 0.500
La: 0.218 0.218 0.000
La: 0.390 0.890 0.500
La: 0.610 0.110 0.500
La: 0.782 0.782 0.000
La: 0.890 0.390 0.500
Pm: 0.063 0.063 0.000
Pm: 0.937 0.937 0.000
Pr: 0.348 0.348 0.000
Pr: 0.500 0.500 0.000
Pr: 0.652 0.652 0.000